Entry 1:
# MnBe2Cl PBE relaxed
# **Energy relative to the elements, uncorrected**: 40.6 kJ/mol of atoms
# **Energy**: -4.1959 eV per atom
# **Polymorph energy (0 for the lowest one)**: 0.350 eV per atom
data_MnBe2Cl
_chemical_formula_sum 'Mn1 Be2 Cl1'
_cell_length_a 2.936
_cell_length_b 2.936
_cell_length_c 7.546
_cell_angle_alpha 90.00
_cell_angle_beta 90.00
_cell_angle_gamma 120.77
_symmetry_space_group_name_H-M 'P 1'
_symmetry_Int_Tables_number 1
_symmetry_space_group_name_Hall 'P 1'
loop_
_atom_site_label
_atom_site_type_symbol
_atom_site_fract_x
_atom_site_fract_y
_atom_site_fract_z
Be1 Be 0.500 0.500 0.251
Be2 Be 0.000 0.000 0.020
Mn1 Mn 0.500 0.500 0.774
Cl1 Cl 0.000 0.000 0.456



Entry 2:
# GdTaNi2 PBE relaxed
# **ΔE_f**: -217 meV/atom
# **Energy**: -9.5913 eV per atom
data_GdTaNi2
_chemical_formula_sum 'Gd1 Ta1 Ni2'
_cell_length_a 4.254
_cell_length_b 4.254
_cell_length_c 5.375
_cell_angle_alpha 66.69
_cell_angle_beta 66.69
_cell_angle_gamma 60.00
_symmetry_space_group_name_H-M 'P 1'
_symmetry_Int_Tables_number 1
_symmetry_space_group_name_Hall 'P 1'
loop_
_atom_site_label
_atom_site_type_symbol
_atom_site_fract_x
_atom_site_fract_y
_atom_site_fract_z
Ni1 Ni 0.201 0.201 0.397
Ni2 Ni 0.799 0.799 0.603
Ta1 Ta 0.500 0.500 0.500
Gd1 Gd 0.000 0.000 0.000



Entry 3:
# Nd3NpTl4Se8 PBE relaxed
# **Energy relative to the elements, uncorrected**: -120.9 kJ/mol of atoms
# **Energy**: -5.2897 eV per atom
data_Nd3NpTl4Se8
_chemical_formula_sum 'Nd3 Np1 Tl4 Se8'
_cell_length_a 8.614
_cell_length_b 9.204
_cell_length_c 8.615
_cell_angle_alpha 117.93
_cell_angle_beta 120.00
_cell_angle_gamma 90.00
_symmetry_space_group_name_H-M 'P 1'
_symmetry_Int_Tables_number 1
_symmetry_space_group_name_Hall 'P 1'
loop_
_atom_site_label
_atom_site_type_symbol
_atom_site_fract_x
_atom_site_fract_y
_atom_site_fract_z
Se1 Se 0.263 0.288 0.525
Se2 Se 0.259 0.291 0.025
Se3 Se 0.766 0.291 0.025
Se4 Se 0.741 0.709 0.975
Se5 Se 0.234 0.709 0.468
Se6 Se 0.234 0.709 0.975
Se7 Se 0.766 0.291 0.532
Se8 Se 0.737 0.712 0.475
Tl1 Tl 0.000 0.000 0.000
Tl2 Tl 0.500 0.000 0.000
Tl3 Tl 0.000 0.000 0.500
Tl4 Tl 0.500 0.000 0.500
Nd1 Nd 0.500 0.500 0.500
Nd2 Nd 0.500 0.500 0.000
Nd3 Nd 0.000 0.500 0.500
Np1 Np 0.000 0.500 0.000



Entry 4:
# Pr2DyEr3 PBE relaxed
# **ΔE_f**: 71 meV/atom
# **Energy**: -4.5705 eV per atom
# **Polymorph energy (0 for the lowest one)**: 0.000 eV per atom
data_Pr2DyEr3
_chemical_formula_sum 'Pr4 Dy2 Er6'
_cell_length_a 3.571
_cell_length_b 11.891
_cell_length_c 17.108
_cell_angle_alpha 33.38
_cell_angle_beta 84.01
_cell_angle_gamma 81.36
_symmetry_space_group_name_H-M 'P 1'
_symmetry_Int_Tables_number 1
_symmetry_space_group_name_Hall 'P 1'
loop_
_atom_site_label
_atom_site_type_symbol
_atom_site_fract_x
_atom_site_fract_y
_atom_site_fract_z
Dy1 Dy 0.564 0.612 0.261
Dy2 Dy 0.436 0.388 0.739
Er1 Er 0.808 0.956 0.428
Er2 Er 0.062 0.939 0.937
Er3 Er 0.938 0.061 0.063
Er4 Er 0.687 0.726 0.899
Er5 Er 0.192 0.044 0.572
Er6 Er 0.313 0.274 0.101
Pr1 Pr 0.814 0.588 0.783
Pr2 Pr 0.186 0.412 0.217
Pr3 Pr 0.433 0.752 0.383
Pr4 Pr 0.567 0.248 0.617



Fermi-level density of states (computed, states/eV/atom): 0.575, 0.618, 0.353, 1.666